VASP calculation (PBE) on crystalline Ce2TeI at its relaxed geometry.

Lattice parameters (Å, degrees): 3.8837 3.8837 7.7374 90.00 90.00 90.00
With the nearest neighbours (Å) after each atom.
Fractional positions:
Ce (0.0000, 0.0000, 0.7617)  4 Te 3.31, 4 I 3.41, 1 Ce 3.69
Te (0.5000, 0.5000, 0.0000)  8 Ce 3.31
Ce (0.0000, 0.0000, 0.2383)  4 Te 3.31, 4 I 3.41, 1 Ce 3.69
I (0.5000, 0.5000, 0.5000)  8 Ce 3.41

- Energy relative to the lowest polymorph listed for this composition: 0.069 eV/atom
- V: 116.7 Å³/f.u.
- Energy relative to the elements, uncorrected: -985 meV/atom
- Magnetic moment: 3.00 μB per cell

***

VASP calculation (PBE) on crystalline BiHI at its relaxed geometry.

Lattice parameters (Å, degrees): 4.2235 7.6096 13.2693 90.00 94.39 90.00
With the nearest neighbours (Å) after each atom.
Fractional positions:
Bi (0.7669, 0.0756, 0.0710)  4 Bi 3.05-3.39
H (0.9029, 0.4438, 0.6003)  1 I 1.64
I (0.7335, 0.9953, 0.6639)  1 H 1.64
Bi (0.2669, 0.4244, 0.0710)  4 Bi 3.05-3.39
H (0.0971, 0.5562, 0.3997)  1 I 1.64
I (0.7665, 0.4953, 0.3361)  1 H 1.64
H (0.4029, 0.0562, 0.6003)  1 I 1.64
H (0.5971, 0.9438, 0.3997)  1 I 1.64
Bi (0.7331, 0.5756, 0.9290)  4 Bi 3.05-3.39
I (0.2335, 0.5047, 0.6639)  1 H 1.64
I (0.2665, 0.0047, 0.3361)  1 H 1.64
Bi (0.2331, 0.9244, 0.9290)  4 Bi 3.05-3.39

- Energy relative to the lowest polymorph listed for this composition: 0.289 eV/atom
- V: 106.3 Å³/f.u.
- Magnetic moment: 0.00 μB per cell

***

VASP calculation (PBE) on crystalline PmSn4 at its relaxed geometry.

Lattice parameters (Å, degrees): 5.8320 5.8320 5.8320 90.00 90.00 90.00
With the nearest neighbours (Å) after each atom.
Fractional positions:
Sn (0.5000, 0.0000, 0.5000)  2 Pm 2.92
Pm (0.5000, 0.5000, 0.5000)  6 Sn 2.92
Sn (0.0000, 0.5000, 0.5000)  2 Pm 2.92
Sn (0.5000, 0.5000, 0.0000)  2 Pm 2.92
Sn (0.0000, 0.0000, 0.0000)  12 Sn 4.12

- Energy relative to the lowest polymorph listed for this composition: 0.930 eV/atom
- Formation enthalpy at 0 K: 0.574 eV/atom
- V: 198.4 Å³/f.u.
- Magnetic moment: 0.00 μB per cell

***

VASP calculation (PBE) on crystalline Pr5Dy4Tm2 at its relaxed geometry.

Lattice parameters (Å, degrees): 3.5332 9.1979 12.8201 111.02 97.92 90.00
With the nearest neighbours (Å) after each atom.
Fractional positions:
Dy (0.4033, 0.4033, 0.8065)  1 Tm 3.15, 4 Dy 3.37, 4 Pr 3.48
Pr (0.8521, 0.0543, 0.7043)  3 Tm 3.44-3.79, 3 Dy 3.48-3.64, 3 Pr 3.53-3.72
Dy (0.0000, 0.6874, 0.0000)  7 Dy 3.37-3.53, 4 Pr 3.37-3.64
Pr (0.1479, 0.9457, 0.2957)  3 Tm 3.44-3.79, 3 Dy 3.48-3.64, 3 Pr 3.53-3.72
Dy (0.5967, 0.5967, 0.1935)  1 Tm 3.15, 4 Dy 3.37, 4 Pr 3.48
Dy (0.0000, 0.3126, 0.0000)  7 Dy 3.37-3.53, 4 Pr 3.37-3.64
Pr (0.1479, 0.3500, 0.2957)  3 Tm 3.44-3.79, 3 Dy 3.48-3.64, 3 Pr 3.53-3.72
Tm (0.7299, 0.7299, 0.4597)  1 Dy 3.15, 2 Pr 3.44
Pr (0.8521, 0.6500, 0.7043)  3 Tm 3.44-3.79, 3 Dy 3.48-3.64, 3 Pr 3.53-3.72
Pr (0.5000, 0.0000, 0.0000)  4 Dy 3.37, 2 Pr 3.53
Tm (0.2701, 0.2701, 0.5403)  1 Dy 3.15, 2 Pr 3.44

- Energy relative to the lowest polymorph listed for this composition: 0.125 eV/atom
- Formation enthalpy at 0 K: 0.204 eV/atom
- V: 384.6 Å³/f.u.
- Magnetic moment: 0.00 μB per cell

***

VASP calculation (PBE) on crystalline Ba5MgCd4 at its relaxed geometry.

Lattice parameters (Å, degrees): 4.2590 4.2590 21.6192 90.00 90.00 90.00
With the nearest neighbours (Å) after each atom.
Fractional positions:
Cd (0.0000, 0.0000, 0.4012)  8 Ba 3.69-3.70
Cd (0.0000, 0.0000, 0.2018)  8 Ba 3.67-3.71
Cd (0.0000, 0.0000, 0.5988)  8 Ba 3.69-3.70
Ba (0.5000, 0.5000, 0.8949)  4 Cd 3.67, 4 Mg 3.77
Ba (0.5000, 0.5000, 0.6980)  8 Cd 3.70-3.71
Ba (0.5000, 0.5000, 0.5000)  8 Cd 3.69
Mg (0.0000, 0.0000, 0.0000)  8 Ba 3.77
Ba (0.5000, 0.5000, 0.3020)  8 Cd 3.70-3.71
Ba (0.5000, 0.5000, 0.1051)  4 Cd 3.67, 4 Mg 3.77
Cd (0.0000, 0.0000, 0.7982)  8 Ba 3.67-3.71

- Formation enthalpy at 0 K: -0.270 eV/atom
- V: 392.2 Å³/f.u.
- Magnetic moment: 0.00 μB per cell

***

VASP calculation (PBE) on crystalline ZrTaSbW2 at its relaxed geometry.

Lattice parameters (Å, degrees): 4.8778 4.9611 4.8778 90.00 90.00 90.00
With the nearest neighbours (Å) after each atom.
Fractional positions:
W (0.5000, 0.0000, 0.0000)  2 Sb 2.44
Sb (0.0000, 0.0000, 0.0000)  4 W 2.44, 2 Ta 2.48
Zr (0.5000, 0.5000, 0.5000)  4 Ta 3.45, 8 W 3.48
W (0.0000, 0.0000, 0.5000)  2 Sb 2.44
Ta (0.0000, 0.5000, 0.0000)  2 Sb 2.48

- V: 118.0 Å³/f.u.
- Energy relative to the elements, uncorrected: 1880 meV/atom
- Magnetic moment: 0.00 μB per cell

***

VASP calculation (PBE) on crystalline Tb2TmRh at its relaxed geometry.

Lattice parameters (Å, degrees): 3.7371 3.7371 9.6388 78.82 78.82 60.00
With the nearest neighbours (Å) after each atom.
Fractional positions:
Tb (0.2722, 0.2722, 0.1833)  3 Rh 2.76
Tb (0.7278, 0.7278, 0.8167)  3 Rh 2.76
Tm (0.5000, 0.5000, 0.5000)  6 Tb 3.68, 6 Tm 3.74
Rh (0.0000, 0.0000, 0.0000)  6 Tb 2.76

- Energy relative to the lowest polymorph listed for this composition: 0.235 eV/atom
- Formation enthalpy at 0 K: -0.295 eV/atom
- V: 113.6 Å³/f.u.
- Magnetic moment: 0.67 μB per cell

***

VASP calculation (PBE) on crystalline Ba2Na3Sn2 at its relaxed geometry.

Lattice parameters (Å, degrees): 5.5431 6.6144 8.0300 104.36 90.00 114.77
With the nearest neighbours (Å) after each atom.
Fractional positions:
Na (0.3725, 0.7451, 0.5654)  3 Sn 3.23-3.26, 2 Na 3.41-3.50, 1 Ba 3.58
Sn (0.8511, 0.7022, 0.7672)  5 Na 3.23-3.54, 2 Ba 3.56-3.61
Sn (0.1489, 0.2978, 0.2328)  5 Na 3.23-3.54, 2 Ba 3.56-3.61
Na (0.6275, 0.2549, 0.4346)  3 Sn 3.23-3.26, 2 Na 3.41-3.50, 1 Ba 3.58
Ba (0.8500, 0.7000, 0.2159)  4 Sn 3.56-3.70, 5 Na 3.58-3.95
Ba (0.1500, 0.3000, 0.7841)  4 Sn 3.56-3.70, 5 Na 3.58-3.95
Na (0.5000, 0.0000, 0.0000)  2 Na 3.41, 4 Sn 3.54

- Formation enthalpy at 0 K: -0.333 eV/atom
- V: 257.2 Å³/f.u.
- Magnetic moment: 0.00 μB per cell

***

VASP calculation (PBE) on crystalline VGeAsBr at its relaxed geometry.

Lattice parameters (Å, degrees): 3.3409 3.4086 7.9578 93.84 90.10 89.99
With the nearest neighbours (Å) after each atom.
Fractional positions:
V (0.5177, 0.2189, 0.3560)  4 As 2.54-2.57, 2 Br 2.55-2.56
As (0.0172, 0.7067, 0.2410)  4 V 2.54-2.57, 2 Ge 2.54
Br (0.0188, 0.2680, 0.5995)  2 V 2.55-2.56
Ge (0.5162, 0.8052, 0.0065)  2 As 2.54

- Energy relative to the lowest polymorph listed for this composition: 0.046 eV/atom
- V: 90.4 Å³/f.u.
- Energy relative to the elements, uncorrected: -153 meV/atom
- Magnetic moment: 0.95 μB per cell

***

VASP calculation (PBE) on crystalline Ac6GaTe12 at its relaxed geometry.

Lattice parameters (Å, degrees): 9.2517 9.2517 9.2517 97.11 97.11 97.11
With the nearest neighbours (Å) after each atom.
Fractional positions:
Te (0.6559, 0.9642, 0.9967)  1 Te 3.04, 1 Ga 3.16
Ac (0.3274, 0.1374, 0.6534)  6 Te 3.25-3.47
Te (0.8143, 0.5706, 0.4241)  4 Ac 3.25-3.32
Te (0.9642, 0.9967, 0.6559)  1 Te 3.04, 1 Ga 3.16
Te (0.1857, 0.4294, 0.5759)  4 Ac 3.25-3.32
Te (0.3441, 0.0358, 0.0033)  1 Te 3.04, 1 Ga 3.16
Te (0.9967, 0.6559, 0.9642)  1 Te 3.04, 1 Ga 3.16
Ac (0.8626, 0.3466, 0.6726)  6 Te 3.25-3.47
Te (0.4241, 0.8143, 0.5706)  4 Ac 3.25-3.32
Te (0.5759, 0.1857, 0.4294)  4 Ac 3.25-3.32
Ac (0.6534, 0.3274, 0.1374)  6 Te 3.25-3.47
Te (0.4294, 0.5759, 0.1857)  4 Ac 3.25-3.32
Ac (0.1374, 0.6534, 0.3274)  6 Te 3.25-3.47
Te (0.0033, 0.3441, 0.0358)  1 Te 3.04, 1 Ga 3.16
Te (0.0358, 0.0033, 0.3441)  1 Te 3.04, 1 Ga 3.16
Ac (0.3466, 0.6726, 0.8626)  6 Te 3.25-3.47
Ac (0.6726, 0.8626, 0.3466)  6 Te 3.25-3.47
Ga (0.0000, 0.0000, 0.0000)  6 Te 3.16
Te (0.5706, 0.4241, 0.8143)  4 Ac 3.25-3.32

- V: 771.9 Å³/f.u.
- Energy relative to the elements, uncorrected: -1188 meV/atom
- Magnetic moment: 0.00 μB per cell

***

VASP calculation (PBE) on crystalline Pr2Nd4Y2Tm at its relaxed geometry.

Lattice parameters (Å, degrees): 3.6854 9.6882 9.7664 115.06 90.00 100.96
With the nearest neighbours (Å) after each atom.
Fractional positions:
Y (0.1471, 0.2942, 0.6662)  3 Pr 3.62-3.66, 7 Nd 3.62-3.67, 2 Y 3.69
Nd (0.1856, 0.3713, 0.3333)  6 Nd 3.62-3.69, 2 Pr 3.62, 1 Tm 3.63, 3 Y 3.63-3.67
Nd (0.8144, 0.6287, 0.6667)  6 Nd 3.62-3.69, 2 Pr 3.62, 1 Tm 3.63, 3 Y 3.63-3.67
Pr (0.3352, 0.6704, 0.0014)  3 Nd 3.59-3.62, 3 Y 3.62-3.66, 2 Tm 3.64, 4 Pr 3.69-3.72
Pr (0.6648, 0.3296, 0.9986)  3 Nd 3.59-3.62, 3 Y 3.62-3.66, 2 Tm 3.64, 4 Pr 3.69-3.72
Y (0.8529, 0.7058, 0.3338)  3 Pr 3.62-3.66, 7 Nd 3.62-3.67, 2 Y 3.69
Nd (0.5184, 0.0368, 0.3322)  1 Pr 3.59, 2 Tm 3.61, 4 Y 3.62-3.65, 5 Nd 3.63-3.69
Tm (0.0000, 0.0000, 0.0000)  6 Nd 3.61-3.63, 4 Pr 3.64, 2 Tm 3.69
Nd (0.4816, 0.9632, 0.6678)  1 Pr 3.59, 2 Tm 3.61, 4 Y 3.62-3.65, 5 Nd 3.63-3.69

- Formation enthalpy at 0 K: 0.007 eV/atom
- V: 308.8 Å³/f.u.
- Magnetic moment: 0.00 μB per cell